# 1
A relaxed HoTmNi crystal. Source: the Alexandria database, functional PBE-GGA.

**ΔE_f**: -0.26 eV per atom
**Distance to the lowest polymorph of the same formula**: 0.063 eV/f.u.
**Total DFT energy (no corrections)**: -5.199 eV per atom

POSCAR file:
```
HoTmNi
1.0
-0.048 5.143 4.625
-2.414 -4.149 4.589
5.911 1.804 4.741
Ho Ni Tm
4 4 4
Cartesian
0.690 4.107 5.863
3.044 1.794 9.816
0.405 1.004 4.138
2.759 -1.309 8.091
4.459 4.139 10.508
5.497 3.309 6.269
-2.048 -0.510 7.685
-1.011 -1.340 3.447
0.093 1.289 7.807
3.641 4.611 7.873
-0.192 -1.813 6.082
3.356 1.509 6.147
```

# 2
A relaxed Ho3TmNi2 crystal. Source: the Alexandria database, functional PBE-GGA.

**ΔE_f**: -0.31 eV per atom
**Distance to the lowest polymorph of the same formula**: 0.000 eV/f.u.
**Total DFT energy (no corrections)**: -5.273 eV per atom

POSCAR file:
```
Ho3TmNi2
1.0
3.771 0.000 0.760
1.591 7.841 1.844
-0.008 0.022 9.776
Tm Ni Ho
2 4 6
Cartesian
4.077 4.439 8.981
1.277 3.424 3.399
4.344 7.155 7.655
3.553 3.230 1.844
1.010 0.707 4.725
1.801 4.633 10.536
3.428 6.076 2.465
1.926 1.787 9.915
3.287 0.504 3.163
2.631 2.190 6.419
2.067 7.359 9.217
2.723 5.673 5.961
```

# 3
A relaxed Ho2TmNi2 crystal. Source: the Alexandria database, functional PBE-GGA.

**ΔE_f**: -0.25 eV per atom
**Distance to the lowest polymorph of the same formula**: 0.488 eV/f.u.
**Total DFT energy (no corrections)**: -5.289 eV per atom

POSCAR file:
```
Ho2TmNi2
1.0
-0.596 1.421 -3.437
-5.381 -1.266 0.410
0.881 4.491 3.767
Ni Tm Ho
2 1 2
Cartesian
-0.719 2.619 -0.857
-4.378 2.026 1.597
0.000 0.000 0.000
-1.724 3.110 1.584
-3.373 1.535 -0.845
```